VASP calculation (GGA-PBE) on a geometry-optimized Na2TlVCl8 structure.

```
data_Na2TlVCl8
_chemical_formula_sum 'Na2 Tl1 V1 Cl8'
_cell_length_a 6.169
_cell_length_b 8.110
_cell_length_c 6.406
_cell_angle_alpha 90.00
_cell_angle_beta 93.60
_cell_angle_gamma 90.00
_space_group_name_H-M_alt 'P 1 2/m 1'
_space_group_IT_number 10
loop_
_space_group_symop_operation_xyz
'x,y,z'
'-x,-y,-z'
'-x,y,-z'
'x,-y,z'
loop_
_atom_site_label
_atom_site_type_symbol
_atom_site_fract_x
_atom_site_fract_y
_atom_site_fract_z
_atom_site_occupancy
Na1 Na 0.000 0.237 0.000 1
Tl1 Tl 0.500 0.500 0.500 1
V1 V 0.500 0.000 0.500 1
Cl1 Cl 0.219 0.500 0.175 1
Cl2 Cl 0.264 0.000 0.202 1
Cl3 Cl 0.293 0.210 0.649 1
```

Computed properties:
total moment	1.337	μB/f.u.
energy relative to the elements, uncorrected	-1216.7	meV/atom